Below is Ho4TlGe4Pd2 after structural relaxation, with properties calculated at the GGA-PBE level.

a = 8.246 Å, b = 8.246 Å, c = 7.196 Å
α = 107.15°, β = 107.15°, γ = 29.75°
Positions (direct):
Ho (0.087, 0.087, 0.382)
Ho (0.157, 0.157, 0.923)
Ho (0.843, 0.843, 0.077)
Ho (0.913, 0.913, 0.618)
Tl (0.500, 0.500, 0.000)
Ge (0.307, 0.307, 0.761)
Ge (0.437, 0.437, 0.343)
Ge (0.563, 0.563, 0.657)
Ge (0.693, 0.693, 0.239)
Pd (0.281, 0.281, 0.370)
Pd (0.719, 0.719, 0.630)

Results
uncorrected energy	-5.322	eV/atom
M_tot	0.019	μB/cell

Below is ZnOs2Pd after structural relaxation, with properties calculated at the GGA-PBE level.

a = 4.357 Å, b = 4.357 Å, c = 4.357 Å
α = 60.00°, β = 60.00°, γ = 60.00°
Positions (direct):
Zn (0.000, 0.000, 0.000)
Os (0.250, 0.250, 0.250)
Os (0.500, 0.500, 0.500)
Pd (0.750, 0.750, 0.750)

Results
uncorrected energy	-6.870	eV/atom
M_tot	0.011	μB/cell
energy of formation	1.4	eV per formula unit

Below is LiThGe after structural relaxation, with properties calculated at the GGA-PBE level.

a = 4.869 Å, b = 4.869 Å, c = 4.869 Å
α = 60.00°, β = 60.00°, γ = 60.00°
Positions (direct):
Li (0.000, 0.000, 0.000)
Th (0.750, 0.750, 0.750)
Ge (0.500, 0.500, 0.500)

Results
uncorrected energy	-4.476	eV/atom
M_tot	0.006	μB/cell

Below is TbErNO after structural relaxation, with properties calculated at the GGA-PBE level.

a = 4.271 Å, b = 4.271 Å, c = 7.653 Å
α = 90.00°, β = 90.00°, γ = 90.00°
Positions (direct):
Tb (0.250, 0.750, 0.000)
Tb (0.750, 0.250, 0.000)
Er (0.250, 0.250, 0.405)
Er (0.750, 0.750, 0.595)
N (0.250, 0.250, 0.873)
N (0.750, 0.750, 0.127)
O (0.250, 0.750, 0.500)
O (0.750, 0.250, 0.500)

Results
uncorrected energy	-7.353	eV/atom
M_tot	1.314	μB/cell

Below is BaNdB after structural relaxation, with properties calculated at the GGA-PBE level.

a = 4.941 Å, b = 4.941 Å, c = 4.941 Å
α = 60.00°, β = 60.00°, γ = 60.00°
Positions (direct):
Ba (0.000, 0.000, 0.000)
Nd (0.500, 0.500, 0.500)
B (0.250, 0.250, 0.250)

Results
uncorrected energy	-3.870	eV/atom
M_tot	0.003	μB/cell

Below is La2Hg2Ge3 after structural relaxation, with properties calculated at the GGA-PBE level.

a = 8.928 Å, b = 8.928 Å, c = 8.928 Å
α = 32.22°, β = 32.22°, γ = 32.22°
Positions (direct):
La (0.000, 0.000, 0.000)
La (0.497, 0.497, 0.497)
Hg (0.251, 0.251, 0.251)
Hg (0.742, 0.742, 0.742)
Ge (0.122, 0.122, 0.122)
Ge (0.370, 0.370, 0.370)
Ge (0.881, 0.881, 0.881)

Results
uncorrected energy	-3.803	eV/atom
M_tot	0.001	μB/cell

Below is CdGeTeO after structural relaxation, with properties calculated at the GGA-PBE level.

a = 7.417 Å, b = 8.675 Å, c = 5.720 Å
α = 90.00°, β = 90.00°, γ = 90.00°
Positions (direct):
Cd (0.111, 0.166, 0.000)
Cd (0.389, 0.166, 0.500)
Cd (0.611, 0.834, 0.000)
Cd (0.889, 0.834, 0.500)
Ge (0.136, 0.551, 0.801)
Ge (0.364, 0.551, 0.301)
Ge (0.636, 0.449, 0.801)
Ge (0.864, 0.449, 0.301)
Te (0.005, 0.838, 0.007)
Te (0.495, 0.838, 0.507)
Te (0.505, 0.162, 0.007)
Te (0.995, 0.162, 0.507)
O (0.024, 0.421, 0.030)
O (0.476, 0.421, 0.530)
O (0.524, 0.579, 0.030)
O (0.976, 0.579, 0.530)

Results
uncorrected energy	-3.995	eV/atom

Below is TcSnPd after structural relaxation, with properties calculated at the GGA-PBE level.

a = 4.403 Å, b = 4.403 Å, c = 4.403 Å
α = 60.00°, β = 60.00°, γ = 60.00°
Positions (direct):
Tc (0.000, 0.000, 0.000)
Sn (0.500, 0.500, 0.500)
Pd (0.750, 0.750, 0.750)

Results
uncorrected energy	-6.233	eV/atom
M_tot	2.960	μB/cell

Below is KNaHfSe3 after structural relaxation, with properties calculated at the GGA-PBE level.

a = 7.023 Å, b = 7.023 Å, c = 7.701 Å
α = 98.30°, β = 98.30°, γ = 119.33°
Positions (direct):
K (0.155, 0.845, 0.000)
K (0.845, 0.155, 0.000)
Na (0.000, 0.000, 0.500)
Na (0.500, 0.500, 0.000)
Hf (0.331, 0.669, 0.500)
Hf (0.669, 0.331, 0.500)
Se (0.068, 0.428, 0.703)
Se (0.311, 0.311, 0.290)
Se (0.428, 0.068, 0.703)
Se (0.572, 0.932, 0.297)
Se (0.689, 0.689, 0.710)
Se (0.932, 0.572, 0.297)

Results
uncorrected energy	-5.133	eV/atom
M_tot	0.005	μB/cell

Below is BeFeBPd after structural relaxation, with properties calculated at the GGA-PBE level.

a = 3.765 Å, b = 3.765 Å, c = 3.765 Å
α = 60.00°, β = 60.00°, γ = 60.00°
Positions (direct):
Be (0.000, 0.000, 0.000)
Fe (0.750, 0.750, 0.750)
B (0.500, 0.500, 0.500)
Pd (0.250, 0.250, 0.250)

Results
uncorrected energy	-6.047	eV/atom
M_tot	0.001	μB/cell

Below is TmOsW after structural relaxation, with properties calculated at the GGA-PBE level.

a = 4.473 Å, b = 4.473 Å, c = 4.473 Å
α = 60.00°, β = 60.00°, γ = 60.00°
Positions (direct):
Tm (0.000, 0.000, 0.000)
Os (0.750, 0.750, 0.750)
W (0.250, 0.250, 0.250)

Results
uncorrected energy	-7.799	eV/atom
M_tot	1.594	μB/cell
energy of formation	5.3	eV per formula unit

Below is Hf3HgO after structural relaxation, with properties calculated at the GGA-PBE level.

a = 5.943 Å, b = 5.943 Å, c = 9.152 Å
α = 90.00°, β = 90.00°, γ = 147.15°
Positions (direct):
Hf (0.036, 0.964, 0.750)
Hf (0.373, 0.627, 0.533)
Hf (0.373, 0.627, 0.967)
Hf (0.627, 0.373, 0.033)
Hf (0.627, 0.373, 0.467)
Hf (0.964, 0.036, 0.250)
Hg (0.247, 0.753, 0.250)
Hg (0.753, 0.247, 0.750)
O (0.000, 0.000, 0.000)
O (0.000, 0.000, 0.500)

Results
uncorrected energy	-8.066	eV/atom
M_tot	0.002	μB/cell

Below is CuReHgOs after structural relaxation, with properties calculated at the GGA-PBE level.

a = 4.412 Å, b = 4.412 Å, c = 4.412 Å
α = 60.00°, β = 60.00°, γ = 60.00°
Positions (direct):
Cu (0.000, 0.000, 0.000)
Re (0.250, 0.250, 0.250)
Hg (0.500, 0.500, 0.500)
Os (0.750, 0.750, 0.750)

Results
uncorrected energy	-5.861	eV/atom
M_tot	0.015	μB/cell
energy of formation	4.2	eV per formula unit

Below is PmYTl after structural relaxation, with properties calculated at the GGA-PBE level.

a = 5.231 Å, b = 5.231 Å, c = 5.231 Å
α = 60.00°, β = 60.00°, γ = 60.00°
Positions (direct):
Pm (0.000, 0.000, 0.000)
Y (0.500, 0.500, 0.500)
Tl (0.250, 0.250, 0.250)

Results
uncorrected energy	-4.590	eV/atom
M_tot	0.474	μB/cell

Below is BaNbTc2 after structural relaxation, with properties calculated at the GGA-PBE level.

a = 4.756 Å, b = 4.756 Å, c = 4.756 Å
α = 60.00°, β = 60.00°, γ = 60.00°
Positions (direct):
Ba (0.000, 0.000, 0.000)
Nb (0.750, 0.750, 0.750)
Tc (0.250, 0.250, 0.250)
Tc (0.500, 0.500, 0.500)

Results
uncorrected energy	-7.128	eV/atom
M_tot	0.011	μB/cell

Below is HoAs after structural relaxation, with properties calculated at the GGA-PBE level.

a = 3.991 Å, b = 3.991 Å, c = 3.651 Å
α = 90.00°, β = 90.00°, γ = 120.00°
Positions (direct):
Ho (0.000, 0.000, 0.000)
As (0.333, 0.667, 0.500)

Results
uncorrected energy	-5.837	eV/atom
M_tot	0.001	μB/cell

Below is Ag5Hg4P8Cl5 after structural relaxation, with properties calculated at the GGA-PBE level.

a = 9.171 Å, b = 9.171 Å, c = 6.344 Å
α = 100.77°, β = 100.77°, γ = 74.55°
Positions (direct):
Ag (0.000, 0.000, 0.000)
Ag (0.296, 0.296, 0.055)
Ag (0.354, 0.646, 0.000)
Ag (0.646, 0.354, 0.000)
Ag (0.704, 0.704, 0.945)
Hg (0.018, 0.674, 0.467)
Hg (0.326, 0.982, 0.533)
Hg (0.674, 0.018, 0.467)
Hg (0.982, 0.326, 0.533)
P (0.260, 0.260, 0.659)
P (0.296, 0.599, 0.600)
P (0.358, 0.358, 0.445)
P (0.401, 0.704, 0.400)
P (0.599, 0.296, 0.600)
P (0.642, 0.642, 0.555)
P (0.704, 0.401, 0.400)
P (0.740, 0.740, 0.341)
Cl (0.000, 0.000, 0.500)
Cl (0.026, 0.697, 0.977)
Cl (0.303, 0.974, 0.023)
Cl (0.697, 0.026, 0.977)
Cl (0.974, 0.303, 0.023)

Results
uncorrected energy	-3.339	eV/atom

Below is Rb2PmY after structural relaxation, with properties calculated at the GGA-PBE level.

a = 5.119 Å, b = 5.119 Å, c = 7.236 Å
α = 90.00°, β = 90.00°, γ = 90.00°
Positions (direct):
Rb (0.000, 0.000, 0.000)
Rb (0.500, 0.500, 0.500)
Pm (0.000, 0.000, 0.500)
Y (0.500, 0.500, 0.000)

Results
uncorrected energy	-2.008	eV/atom
M_tot	0.013	μB/cell

Below is PrSm2Ni9 after structural relaxation, with properties calculated at the GGA-PBE level.

a = 8.697 Å, b = 8.697 Å, c = 8.697 Å
α = 33.53°, β = 33.53°, γ = 33.53°
Positions (direct):
Pr (0.000, 0.000, 0.000)
Sm (0.139, 0.139, 0.139)
Sm (0.861, 0.861, 0.861)
Ni (0.082, 0.582, 0.582)
Ni (0.333, 0.333, 0.333)
Ni (0.418, 0.418, 0.918)
Ni (0.418, 0.918, 0.418)
Ni (0.500, 0.500, 0.500)
Ni (0.582, 0.082, 0.582)
Ni (0.582, 0.582, 0.082)
Ni (0.667, 0.667, 0.667)
Ni (0.918, 0.418, 0.418)

Results
uncorrected energy	-5.697	eV/atom
M_tot	0.487	μB/cell
energy of formation	-4.1	eV per formula unit

Below is RbNbCl3 after structural relaxation, with properties calculated at the GGA-PBE level.

a = 7.277 Å, b = 10.260 Å, c = 7.163 Å
α = 90.00°, β = 90.00°, γ = 90.00°
Positions (direct):
Rb (0.055, 0.250, 0.016)
Rb (0.445, 0.750, 0.516)
Rb (0.555, 0.250, 0.484)
Rb (0.945, 0.750, 0.984)
Nb (0.000, 0.000, 0.500)
Nb (0.000, 0.500, 0.500)
Nb (0.500, 0.000, 0.000)
Nb (0.500, 0.500, 0.000)
Cl (0.001, 0.250, 0.569)
Cl (0.207, 0.533, 0.795)
Cl (0.207, 0.967, 0.795)
Cl (0.293, 0.033, 0.295)
Cl (0.293, 0.467, 0.295)
Cl (0.499, 0.750, 0.069)
Cl (0.501, 0.250, 0.931)
Cl (0.707, 0.533, 0.705)
Cl (0.707, 0.967, 0.705)
Cl (0.793, 0.033, 0.205)
Cl (0.793, 0.467, 0.205)
Cl (0.999, 0.750, 0.431)

Results
uncorrected energy	-4.509	eV/atom
M_tot	12.006	μB/cell